Entry from the Alexandria database: crystalline InGaBr2 at its relaxed geometry (PBE).

POSCAR file:
```
InGaBr2
1.0
5.6721 -2.1764 0.0000
5.6721 2.1764 0.0000
-5.1296 0.0000 5.7221
In Ga Br
1 1 2
Cartesian
0.0000 0.0000 0.0000
3.2428 0.0000 2.8937
-2.0103 0.0000 4.9083
6.1410 0.0000 2.3236
```

## Properties
ΔE_f (raw) = -0.550 eV/atom
Crystal system = monoclinic
DOS at the Fermi energy = 0.00 states/eV/f.u.
DFT total energy = -11.31 eV/cell
SG = Cm, No. 8